(1)
Compound: HfTlCdCu
Source: OQMD via LeMat-Bulk
Functional: PBE
Structure: relaxed Values from VASP.

Calculated values
total magnetization: 0.0 μB/cell
calculated total energy: -0.1456 hartree per atom

Structure (Quantum ESPRESSO input):
```
&SYSTEM
  ibrav = 0, nat = 4, ntyp = 4
/
ATOMIC_SPECIES
Cu 63.55 Cu.upf
Hf 178.49 Hf.upf
Tl 204.38 Tl.upf
Cd 112.41 Cd.upf
ATOMIC_POSITIONS crystal
Cu 0.7500 0.7500 0.7500
Hf 0.2500 0.2500 0.2500
Tl 0.0000 0.0000 0.0000
Cd 0.5000 0.5000 0.5000
CELL_PARAMETERS angstrom
-0.0557 -3.4382 -3.3820
-3.2837 0.1423 -3.5297
1.3532 1.0338 -4.5124
```

---

(2)
Compound: Y3Mg3CdCuHg
Source: OQMD via LeMat-Bulk
Functional: PBE
Structure: relaxed Values from VASP.

Calculated values
total magnetization: 0.0 μB/cell
calculated total energy: -0.1295 hartree per atom

Structure (Quantum ESPRESSO input):
```
&SYSTEM
  ibrav = 0, nat = 9, ntyp = 5
/
ATOMIC_SPECIES
Cu 63.55 Cu.upf
Mg 24.30 Mg.upf
Cd 112.41 Cd.upf
Y 88.91 Y.upf
Hg 200.59 Hg.upf
ATOMIC_POSITIONS crystal
Cu 0.0000 0.0000 0.5000
Mg 0.0001 0.2358 0.0000
Mg 0.7642 0.7643 0.0000
Mg 0.2357 0.9999 0.0000
Cd 0.6667 0.3333 0.0000
Y 0.3999 0.4034 0.5000
Y 0.5966 0.9965 0.5000
Y 0.0035 0.6001 0.5000
Hg 0.3333 0.6667 0.0000
CELL_PARAMETERS angstrom
7.6946 0.0000 0.0000
-3.8473 6.6637 0.0000
0.0000 0.0000 4.1690
```

---

(3)
Compound: Pr3CdCu2Hg2Pd
Source: OQMD via LeMat-Bulk
Functional: PBE
Structure: relaxed Values from VASP.

Calculated values
total magnetization: 0.0 μB/cell
ΔH_f (0 K): -0.41 eV per atom

Structure (Quantum ESPRESSO input):
```
&SYSTEM
  ibrav = 0, nat = 9, ntyp = 5
/
ATOMIC_SPECIES
Cu 63.55 Cu.upf
Pr 140.91 Pr.upf
Cd 112.41 Cd.upf
Pd 106.42 Pd.upf
Hg 200.59 Hg.upf
ATOMIC_POSITIONS crystal
Cu 0.0000 0.6668 0.3403
Cu 0.0000 0.3403 0.6668
Pr 0.5000 0.5981 0.0040
Pr 0.5000 0.3951 0.3951
Pr 0.5000 0.0040 0.5981
Cd 0.0000 0.7388 0.7388
Pd 0.5000 0.9956 0.9956
Hg 0.0000 0.9968 0.2645
Hg 0.0000 0.2645 0.9968
CELL_PARAMETERS angstrom
4.0028 0.0000 0.0000
0.0000 6.7934 3.8870
0.0000 -6.7934 3.8870
```

---

(4)
Compound: Pr3Cd2Cu2HgPd
Source: OQMD via LeMat-Bulk
Functional: PBE
Structure: relaxed Values from VASP.

Calculated values
total magnetization: 0.0 μB/cell
ΔH_f (0 K): -0.39 eV per atom

Structure (Quantum ESPRESSO input):
```
&SYSTEM
  ibrav = 0, nat = 9, ntyp = 5
/
ATOMIC_SPECIES
Hg 200.59 Hg.upf
Pr 140.91 Pr.upf
Cu 63.55 Cu.upf
Pd 106.42 Pd.upf
Cd 112.41 Cd.upf
ATOMIC_POSITIONS crystal
Hg 0.0000 0.7368 0.7368
Pr 0.5000 0.5976 0.9962
Pr 0.5000 0.9962 0.5976
Pr 0.5000 0.4086 0.4086
Cu 0.0000 0.6661 0.3268
Cu 0.0000 0.3268 0.6661
Pd 0.5000 0.0050 0.0050
Cd 0.0000 0.2604 0.0025
Cd 0.0000 0.0025 0.2604
CELL_PARAMETERS angstrom
-1.3643 -3.7516 0.3804
-1.4883 1.3007 7.4893
-5.4646 1.4503 -5.2945
```

---

(5)
Compound: CdCuHgSb
Source: OQMD via LeMat-Bulk
Functional: PBE
Structure: relaxed Values from VASP.

Calculated values
calculated total energy: -0.0738 hartree per atom

Structure (Quantum ESPRESSO input):
```
&SYSTEM
  ibrav = 0, nat = 4, ntyp = 4
/
ATOMIC_SPECIES
Sb 121.76 Sb.upf
Cu 63.55 Cu.upf
Cd 112.41 Cd.upf
Hg 200.59 Hg.upf
ATOMIC_POSITIONS crystal
Sb 0.0000 0.0000 0.0000
Cu 0.7500 0.7500 0.7500
Cd 0.2500 0.2500 0.2500
Hg 0.5000 0.5000 0.5000
CELL_PARAMETERS angstrom
0.0000 3.5057 3.5057
3.5057 0.0000 3.5057
3.5057 3.5057 0.0000
```

---

(6)
Compound: CdCuSnHg
Source: OQMD via LeMat-Bulk
Functional: PBE
Structure: relaxed Values from VASP.

Calculated values
calculated total energy: -0.0736 hartree per atom

Structure (Quantum ESPRESSO input):
```
&SYSTEM
  ibrav = 0, nat = 4, ntyp = 4
/
ATOMIC_SPECIES
Hg 200.59 Hg.upf
Cd 112.41 Cd.upf
Sn 118.71 Sn.upf
Cu 63.55 Cu.upf
ATOMIC_POSITIONS crystal
Hg 0.5000 0.5000 0.5000
Cd 0.2500 0.2500 0.2500
Sn 0.0000 0.0000 0.0000
Cu 0.7500 0.7500 0.7500
CELL_PARAMETERS angstrom
0.0000 3.4921 3.4921
3.4921 0.0000 3.4921
3.4921 3.4921 0.0000
```

---

(7)
Compound: HoCdCu
Source: OQMD via LeMat-Bulk
Functional: PBE
Structure: relaxed Values from VASP.

Calculated values
total magnetization: 0.0 μB/cell
ΔH_f (0 K): 0.32 eV per atom

Structure (Quantum ESPRESSO input):
```
&SYSTEM
  ibrav = 0, nat = 3, ntyp = 3
/
ATOMIC_SPECIES
Cu 63.55 Cu.upf
Ho 164.93 Ho.upf
Cd 112.41 Cd.upf
ATOMIC_POSITIONS crystal
Cu 0.0000 0.0000 0.0000
Ho 0.2500 0.2500 0.2500
Cd 0.5000 0.5000 0.5000
CELL_PARAMETERS angstrom
0.0000 3.3405 3.3405
3.3405 0.0000 3.3405
3.3405 3.3405 0.0000
```

---

(8)
Compound: HoCd4Cu
Source: OQMD via LeMat-Bulk
Functional: PBE
Structure: relaxed Values from VASP.

Calculated values
total magnetization: 0.0 μB/cell
ΔH_f (0 K): 0.06 eV per atom

Structure (Quantum ESPRESSO input):
```
&SYSTEM
  ibrav = 0, nat = 6, ntyp = 3
/
ATOMIC_SPECIES
Cd 112.41 Cd.upf
Ho 164.93 Ho.upf
Cu 63.55 Cu.upf
ATOMIC_POSITIONS crystal
Cd 0.6252 0.1244 0.6252
Cd 0.1244 0.6252 0.6252
Cd 0.6252 0.6252 0.1244
Cd 0.6252 0.6252 0.6252
Ho 0.2500 0.2500 0.2500
Cu 0.0000 0.0000 0.0000
CELL_PARAMETERS angstrom
1.0868 -0.8953 5.5096
-3.9052 -2.4887 3.3007
0.8440 -5.2899 1.9087
```

---

(9)
Compound: Ho2TmCd3CuIr2
Source: OQMD via LeMat-Bulk
Functional: PBE
Structure: relaxed Values from VASP.

Calculated values
total magnetization: 0.0 μB/cell
ΔH_f (0 K): -0.53 eV per atom

Structure (Quantum ESPRESSO input):
```
&SYSTEM
  ibrav = 0, nat = 9, ntyp = 5
/
ATOMIC_SPECIES
Ir 192.22 Ir.upf
Ho 164.93 Ho.upf
Cd 112.41 Cd.upf
Cu 63.55 Cu.upf
Tm 168.93 Tm.upf
ATOMIC_POSITIONS crystal
Ir 0.5000 0.3337 0.6649
Ir 0.5000 0.6649 0.3337
Ho 0.0000 0.0002 0.5843
Ho 0.0000 0.5843 0.0002
Cd 0.5000 0.7505 0.7505
Cd 0.5000 0.2497 0.0003
Cd 0.5000 0.0003 0.2497
Cu 0.0000 0.0007 0.0007
Tm 0.0000 0.4157 0.4157
CELL_PARAMETERS angstrom
3.7752 0.0000 0.0000
0.0000 6.5005 3.7641
0.0000 -6.5005 3.7641
```

---

(10)
Compound: HoCdCuTe3
Source: OQMD via LeMat-Bulk
Functional: PBE
Structure: relaxed Values from VASP.

Calculated values
total magnetization: 0.0 μB/cell
calculated total energy: -0.1365 hartree per atom

Structure (Quantum ESPRESSO input):
```
&SYSTEM
  ibrav = 0, nat = 12, ntyp = 4
/
ATOMIC_SPECIES
Te 127.60 Te.upf
Cu 63.55 Cu.upf
Cd 112.41 Cd.upf
Ho 164.93 Ho.upf
ATOMIC_POSITIONS crystal
Te 0.1475 0.8525 0.5717
Te 0.5969 0.4031 0.2500
Te 0.8525 0.1475 0.4283
Te 0.1475 0.8525 0.9283
Te 0.4031 0.5969 0.7500
Te 0.8525 0.1475 0.0717
Cu 0.9743 0.0257 0.2500
Cu 0.0257 0.9743 0.7500
Cd 0.7341 0.2659 0.7500
Cd 0.2659 0.7341 0.2500
Ho 0.5000 0.5000 0.0000
Ho 0.5000 0.5000 0.5000
CELL_PARAMETERS angstrom
3.0483 5.4194 -3.9576
-4.3173 -5.9733 0.0729
-8.9160 6.4685 1.9904
```

---

(11)
Compound: HoTmCd2Cu4
Source: OQMD via LeMat-Bulk
Functional: PBE
Structure: relaxed Values from VASP.

Calculated values
total magnetization: 0.0 μB/cell
ΔH_f (0 K): -0.21 eV per atom

Structure (Quantum ESPRESSO input):
```
&SYSTEM
  ibrav = 0, nat = 8, ntyp = 4
/
ATOMIC_SPECIES
Cu 63.55 Cu.upf
Cd 112.41 Cd.upf
Ho 164.93 Ho.upf
Tm 168.93 Tm.upf
ATOMIC_POSITIONS crystal
Cu 0.0000 0.5000 0.7508
Cu 0.5000 0.0000 0.7508
Cu 0.5000 0.0000 0.2492
Cu 0.0000 0.5000 0.2492
Cd 0.0000 0.0000 0.5000
Cd 0.5000 0.5000 0.0000
Ho 0.5000 0.5000 0.5000
Tm 0.0000 0.0000 0.0000
CELL_PARAMETERS angstrom
-2.3797 -3.7097 1.4941
2.5680 -2.7502 -2.7383
4.3335 -0.8138 4.8814
```

---

(12)
Compound: YHoCd2Cu4
Source: OQMD via LeMat-Bulk
Functional: PBE
Structure: relaxed Values from VASP.

Calculated values
total magnetization: 0.0 μB/cell
ΔH_f (0 K): -0.21 eV per atom

Structure (Quantum ESPRESSO input):
```
&SYSTEM
  ibrav = 0, nat = 8, ntyp = 4
/
ATOMIC_SPECIES
Cd 112.41 Cd.upf
Cu 63.55 Cu.upf
Y 88.91 Y.upf
Ho 164.93 Ho.upf
ATOMIC_POSITIONS crystal
Cd 0.0000 0.0000 0.5000
Cd 0.5000 0.5000 0.0000
Cu 0.5000 0.0000 0.2491
Cu 0.0000 0.5000 0.7509
Cu 0.5000 0.0000 0.7509
Cu 0.0000 0.5000 0.2491
Y 0.5000 0.5000 0.5000
Ho 0.0000 0.0000 0.0000
CELL_PARAMETERS angstrom
-0.0226 1.1375 -4.5355
-3.2245 -3.2885 -0.8087
-4.7882 4.4168 1.1316
```

---

(13)
Compound: CdCuI4
Source: OQMD via LeMat-Bulk
Functional: PBE
Structure: relaxed Values from VASP.

Calculated values
calculated total energy: -0.0781 hartree per atom

Structure (Quantum ESPRESSO input):
```
&SYSTEM
  ibrav = 0, nat = 6, ntyp = 3
/
ATOMIC_SPECIES
I 126.90 I.upf
Cd 112.41 Cd.upf
Cu 63.55 Cu.upf
ATOMIC_POSITIONS crystal
I 0.5000 0.0000 0.8580
I 0.5000 0.0000 0.3856
I 0.0000 0.5000 0.6144
I 0.0000 0.5000 0.1420
Cd 0.0000 0.0000 0.0000
Cu 0.5000 0.5000 0.5000
CELL_PARAMETERS angstrom
4.2304 0.0000 0.0000
0.0000 4.2304 0.0000
0.0000 0.0000 13.0540
```

---

(14)
Compound: Li2Cd2In2CuIr
Source: OQMD via LeMat-Bulk
Functional: PBE
Structure: relaxed Values from VASP.

Calculated values
total magnetization: 0.0 μB/cell
calculated total energy: -0.1162 hartree per atom

Structure (Quantum ESPRESSO input):
```
&SYSTEM
  ibrav = 0, nat = 8, ntyp = 5
/
ATOMIC_SPECIES
Cd 112.41 Cd.upf
Ir 192.22 Ir.upf
In 114.82 In.upf
Li 6.94 Li.upf
Cu 63.55 Cu.upf
ATOMIC_POSITIONS crystal
Cd 0.0000 0.5000 0.7439
Cd 0.5000 0.0000 0.2561
Ir 0.5000 0.5000 0.0000
In 0.5000 0.0000 0.7546
In 0.0000 0.5000 0.2454
Li 0.5000 0.5000 0.5000
Li 0.0000 0.0000 0.0000
Cu 0.0000 0.0000 0.5000
CELL_PARAMETERS angstrom
4.5714 0.0000 0.0000
0.0000 4.5714 0.0000
0.0000 0.0000 6.5236
```

---

(15)
Compound: Li2Cd2In2CuNi
Source: OQMD via LeMat-Bulk
Functional: PBE
Structure: relaxed Values from VASP.

Calculated values
total magnetization: 0.0 μB/cell
calculated total energy: -0.1004 hartree per atom

Structure (Quantum ESPRESSO input):
```
&SYSTEM
  ibrav = 0, nat = 8, ntyp = 5
/
ATOMIC_SPECIES
Li 6.94 Li.upf
Cu 63.55 Cu.upf
Cd 112.41 Cd.upf
In 114.82 In.upf
Ni 58.69 Ni.upf
ATOMIC_POSITIONS crystal
Li 0.5000 0.5000 0.0000
Li 0.0000 0.0000 0.5000
Cu 0.0000 0.0000 0.0000
Cd 0.5000 0.0000 0.2550
Cd 0.0000 0.5000 0.7450
In 0.0000 0.5000 0.2578
In 0.5000 0.0000 0.7422
Ni 0.5000 0.5000 0.5000
CELL_PARAMETERS angstrom
4.5156 0.0000 0.0000
0.0000 4.5156 0.0000
0.0000 0.0000 6.4153
```

---

(16)
Compound: Li2ScCdIn2Cu2
Source: OQMD via LeMat-Bulk
Functional: PBE
Structure: relaxed Values from VASP.

Calculated values
total magnetization: 0.0 μB/cell
calculated total energy: -0.1183 hartree per atom

Structure (Quantum ESPRESSO input):
```
&SYSTEM
  ibrav = 0, nat = 8, ntyp = 5
/
ATOMIC_SPECIES
In 114.82 In.upf
Cu 63.55 Cu.upf
Cd 112.41 Cd.upf
Li 6.94 Li.upf
Sc 44.96 Sc.upf
ATOMIC_POSITIONS crystal
In 0.0000 0.0000 0.5000
In 0.5000 0.5000 0.0000
Cu 0.0000 0.5000 0.2585
Cu 0.5000 0.0000 0.7415
Cd 0.0000 0.0000 0.0000
Li 0.5000 0.0000 0.2348
Li 0.0000 0.5000 0.7652
Sc 0.5000 0.5000 0.5000
CELL_PARAMETERS angstrom
4.5754 0.0000 0.0000
0.0000 4.5754 0.0000
0.0000 0.0000 6.4918
```

---

(17)
Compound: CdInCuMo
Source: OQMD via LeMat-Bulk
Functional: PBE
Structure: relaxed Values from VASP.

Calculated values
total magnetization: 1.9 μB/cell
calculated total energy: -0.1492 hartree per atom

Structure (Quantum ESPRESSO input):
```
&SYSTEM
  ibrav = 0, nat = 4, ntyp = 4
/
ATOMIC_SPECIES
Mo 95.94 Mo.upf
Cu 63.55 Cu.upf
Cd 112.41 Cd.upf
In 114.82 In.upf
ATOMIC_POSITIONS crystal
Mo 0.2500 0.2500 0.2500
Cu 0.7500 0.7500 0.7500
Cd 0.5000 0.5000 0.5000
In 0.0000 0.0000 0.0000
CELL_PARAMETERS angstrom
-2.0942 -4.1655 0.0903
-0.9352 -2.0515 4.0819
-4.4101 -0.3611 1.4718
```

---

(18)
Compound: Na2Cd2In2CuPd
Source: OQMD via LeMat-Bulk
Functional: PBE
Structure: relaxed Values from VASP.

Calculated values
calculated total energy: -0.0901 hartree per atom

Structure (Quantum ESPRESSO input):
```
&SYSTEM
  ibrav = 0, nat = 8, ntyp = 5
/
ATOMIC_SPECIES
In 114.82 In.upf
Na 22.99 Na.upf
Pd 106.42 Pd.upf
Cd 112.41 Cd.upf
Cu 63.55 Cu.upf
ATOMIC_POSITIONS crystal
In 0.5000 0.0000 0.2493
In 0.0000 0.5000 0.7507
Na 0.5000 0.5000 0.0000
Na 0.0000 0.0000 0.5000
Pd 0.5000 0.5000 0.5000
Cd 0.0000 0.5000 0.2481
Cd 0.5000 0.0000 0.7519
Cu 0.0000 0.0000 0.0000
CELL_PARAMETERS angstrom
-0.9505 1.9024 -4.3023
-4.6748 -0.8710 0.6477
-0.7396 6.0958 2.8589
```

---

(19)
Compound: NbCdInCu
Source: OQMD via LeMat-Bulk
Functional: PBE
Structure: relaxed Values from VASP.

Calculated values
total magnetization: 1.2 μB/cell
calculated total energy: -0.1468 hartree per atom

Structure (Quantum ESPRESSO input):
```
&SYSTEM
  ibrav = 0, nat = 4, ntyp = 4
/
ATOMIC_SPECIES
Cd 112.41 Cd.upf
In 114.82 In.upf
Nb 92.91 Nb.upf
Cu 63.55 Cu.upf
ATOMIC_POSITIONS crystal
Cd 0.5000 0.5000 0.5000
In 0.0000 0.0000 0.0000
Nb 0.2500 0.2500 0.2500
Cu 0.7500 0.7500 0.7500
CELL_PARAMETERS angstrom
0.0000 3.3313 3.3313
3.3313 0.0000 3.3313
3.3313 3.3313 0.0000
```

---

(20)
Compound: CdInCuOs
Source: OQMD via LeMat-Bulk
Functional: PBE
Structure: relaxed Values from VASP.

Calculated values
total magnetization: 0.0 μB/cell
calculated total energy: -0.1549 hartree per atom

Structure (Quantum ESPRESSO input):
```
&SYSTEM
  ibrav = 0, nat = 4, ntyp = 4
/
ATOMIC_SPECIES
Cd 112.41 Cd.upf
Cu 63.55 Cu.upf
Os 190.23 Os.upf
In 114.82 In.upf
ATOMIC_POSITIONS crystal
Cd 0.5000 0.5000 0.5000
Cu 0.7500 0.7500 0.7500
Os 0.2500 0.2500 0.2500
In 0.0000 0.0000 0.0000
CELL_PARAMETERS angstrom
-2.8863 -3.2346 1.4093
-0.9391 -0.4401 4.4389
-4.1165 1.1512 1.5838
```